[1]
12
Lattice="6.576 0.000 0.000 0.000 5.152 0.000 -3.557 0.000 7.978" Properties=species:S:1:pos:R:3 comment="BaPdO | the Alexandria database | PBE | optimized geometry" raw_formation_energy_ev_per_atom=-1.25 crystal_system=monoclinic dft_energy_ev_per_cell=-63.30 density_g_cm3=6.38 pbc="T T T"
Ba -0.143 0.190 3.231
Ba -1.922 2.387 7.219
Ba 4.941 2.766 0.758
Ba 3.163 4.963 4.747
Pd 0.789 2.757 5.523
Pd 2.567 4.972 1.534
Pd 0.452 0.180 6.444
Pd 2.231 2.396 2.455
O 0.806 3.658 1.407
O -0.972 4.071 5.396
O 3.992 1.081 2.582
O 2.214 1.495 6.571



[2]
4
Lattice="2.099 1.212 7.312 -2.099 1.212 7.312 0.000 -2.424 7.312" Properties=species:S:1:pos:R:3 comment="Ba2PdO | the Alexandria database | PBE | optimized geometry" raw_formation_energy_ev_per_atom=-1.33 crystal_system=trigonal dft_energy_ev_per_cell=-19.33 density_g_cm3=5.91 pbc="T T T"
Ba 0.000 0.000 5.206
Ba 0.000 0.000 16.729
Pd 0.000 0.000 0.000
O 0.000 0.000 10.967